Record 1
# MgCr2Re PBE-GGA optimized geometry
# Calculated formation energy (eV/atom): 0.46
# D(E_F) (states/eV per atom): 1.32
# Magnetic moment (μB/cell): 0.57
# Symmetry: R-3m
data_MgCr2Re
_cell_length_a 9.0353
_cell_length_b 9.0353
_cell_length_c 9.0353
_cell_angle_alpha 17.50
_cell_angle_beta 17.50
_cell_angle_gamma 17.50
_space_group_name_H-M_alt 'P 1'
_space_group_IT_number 1
loop_
_space_group_symop_operation_xyz
'x,y,z'
loop_
_atom_site_label
_atom_site_fract_x
_atom_site_fract_y
_atom_site_fract_z
Mg1 0.2500 0.2500 0.2500
Cr1 0.0060 0.0060 0.0060
Cr2 0.4940 0.4940 0.4940
Re1 0.7500 0.7500 0.7500


Record 2
# MgCr3Re PBE-GGA optimized geometry
# Energy above the most stable polymorph in this dataset (meV/atom): 0
# Calculated formation energy (eV/atom): 1.18
# D(E_F) (states/eV per atom): 0.71
# Magnetic moment (μB/cell): 8.11
# Symmetry: Pm-3m
data_MgCr3Re
_cell_length_a 4.6973
_cell_length_b 4.6973
_cell_length_c 4.6973
_cell_angle_alpha 90.00
_cell_angle_beta 90.00
_cell_angle_gamma 90.00
_space_group_name_H-M_alt 'P 1'
_space_group_IT_number 1
loop_
_space_group_symop_operation_xyz
'x,y,z'
loop_
_atom_site_label
_atom_site_fract_x
_atom_site_fract_y
_atom_site_fract_z
Cr1 0.5000 0.0000 0.0000
Cr2 0.0000 0.0000 0.5000
Cr3 0.0000 0.5000 0.0000
Re1 0.0000 0.0000 0.0000
Mg1 0.5000 0.5000 0.5000


Record 3
# MgCr2Re PBE-GGA optimized geometry
# Calculated formation energy (eV/atom): 0.39
# D(E_F) (states/eV per atom): 0.78
# Magnetic moment (μB/cell): 0.00
# Symmetry: Pmmm
data_MgCr2Re
_cell_length_a 2.9064
_cell_length_b 3.7409
_cell_length_c 5.6704
_cell_angle_alpha 90.00
_cell_angle_beta 90.00
_cell_angle_gamma 90.00
_space_group_name_H-M_alt 'P 1'
_space_group_IT_number 1
loop_
_space_group_symop_operation_xyz
'x,y,z'
loop_
_atom_site_label
_atom_site_fract_x
_atom_site_fract_y
_atom_site_fract_z
Re1 0.5000 0.5000 0.7500
Cr1 0.0000 0.0000 0.9340
Cr2 0.0000 0.0000 0.5660
Mg1 0.5000 0.5000 0.2500


Record 4
# MgCr4Re PBE-GGA optimized geometry
# Calculated formation energy (eV/atom): 0.12
# D(E_F) (states/eV per atom): 0.71
# Magnetic moment (μB/cell): 0.00
# Symmetry: F-43m
data_MgCr4Re
_cell_length_a 4.8020
_cell_length_b 4.8020
_cell_length_c 4.8020
_cell_angle_alpha 60.00
_cell_angle_beta 60.00
_cell_angle_gamma 60.00
_space_group_name_H-M_alt 'P 1'
_space_group_IT_number 1
loop_
_space_group_symop_operation_xyz
'x,y,z'
loop_
_atom_site_label
_atom_site_fract_x
_atom_site_fract_y
_atom_site_fract_z
Cr1 0.8747 0.3751 0.3751
Cr2 0.3751 0.3751 0.8747
Cr3 0.3751 0.8747 0.3751
Cr4 0.3751 0.3751 0.3751
Re1 0.0000 0.0000 0.0000
Mg1 0.7500 0.7500 0.7500


Record 5
# MgCr2Re PBE-GGA optimized geometry
# Calculated formation energy (eV/atom): 0.49
# D(E_F) (states/eV per atom): 1.09
# Magnetic moment (μB/cell): 0.98
# Symmetry: C2/m
data_MgCr2Re
_cell_length_a 4.5782
_cell_length_b 4.5782
_cell_length_c 5.0225
_cell_angle_alpha 88.59
_cell_angle_beta 88.59
_cell_angle_gamma 32.26
_space_group_name_H-M_alt 'P 1'
_space_group_IT_number 1
loop_
_space_group_symop_operation_xyz
'x,y,z'
loop_
_atom_site_label
_atom_site_fract_x
_atom_site_fract_y
_atom_site_fract_z
Re1 0.2500 0.2500 0.2500
Cr1 0.4973 0.4973 0.4981
Cr2 0.0027 0.0027 0.0019
Mg1 0.7500 0.7500 0.7500


Record 6
# Mg4CrRe PBE-GGA optimized geometry
# Calculated formation energy (eV/atom): 0.74
# D(E_F) (states/eV per atom): 1.41
# Magnetic moment (μB/cell): 1.28
# Symmetry: F-43m
data_Mg4CrRe
_cell_length_a 5.3658
_cell_length_b 5.3658
_cell_length_c 5.3658
_cell_angle_alpha 60.00
_cell_angle_beta 60.00
_cell_angle_gamma 60.00
_space_group_name_H-M_alt 'P 1'
_space_group_IT_number 1
loop_
_space_group_symop_operation_xyz
'x,y,z'
loop_
_atom_site_label
_atom_site_fract_x
_atom_site_fract_y
_atom_site_fract_z
Mg1 0.3757 0.3757 0.8728
Mg2 0.3757 0.3757 0.3757
Mg3 0.8728 0.3757 0.3757
Mg4 0.3757 0.8728 0.3757
Cr1 0.0000 0.0000 0.0000
Re1 0.7500 0.7500 0.7500


Record 7
# MgCr2Re PBE-GGA optimized geometry
# Calculated formation energy (eV/atom): 0.38
# D(E_F) (states/eV per atom): 1.10
# Magnetic moment (μB/cell): 0.00
# Symmetry: Immm
data_MgCr2Re
_cell_length_a 4.9774
_cell_length_b 4.9774
_cell_length_c 4.9774
_cell_angle_alpha 144.57
_cell_angle_beta 127.91
_cell_angle_gamma 64.58
_space_group_name_H-M_alt 'P 1'
_space_group_IT_number 1
loop_
_space_group_symop_operation_xyz
'x,y,z'
loop_
_atom_site_label
_atom_site_fract_x
_atom_site_fract_y
_atom_site_fract_z
Cr1 0.0165 0.0165 0.0000
Cr2 0.4835 0.4835 0.0000
Re1 0.2500 0.7500 0.5000
Mg1 0.7500 0.2500 0.5000


Record 8
# MgCr3Re PBE-GGA optimized geometry
# Energy above the most stable polymorph in this dataset (meV/atom): 992
# Calculated formation energy (eV/atom): 2.17
# D(E_F) (states/eV per atom): 0.75
# Magnetic moment (μB/cell): 5.01
# Symmetry: Pm-3m
data_MgCr3Re
_cell_length_a 4.3243
_cell_length_b 4.3243
_cell_length_c 4.3243
_cell_angle_alpha 90.00
_cell_angle_beta 90.00
_cell_angle_gamma 90.00
_space_group_name_H-M_alt 'P 1'
_space_group_IT_number 1
loop_
_space_group_symop_operation_xyz
'x,y,z'
loop_
_atom_site_label
_atom_site_fract_x
_atom_site_fract_y
_atom_site_fract_z
Cr1 0.0000 0.5000 0.0000
Cr2 0.5000 0.0000 0.0000
Cr3 0.0000 0.0000 0.5000
Re1 0.5000 0.5000 0.5000
Mg1 0.0000 0.0000 0.0000